Compound: Nb4TlPN2
Source: OQMD
Functional: GGA-PBE
Structure: relaxed

## Properties
- final energy (eV/cell) = -69.96
- theoretical density (g/cm³) = 8.817
- crystal system = hexagonal

a b c (Å): 3.289 3.289 12.768
angles (deg): 90.00 90.00 120.00
Fractional coordinates of all 8 atoms:
N 0.000 0.000 0.231
N 0.000 0.000 0.769
Nb 0.667 0.333 0.135
Nb 0.333 0.667 0.310
Nb 0.333 0.667 0.690
Nb 0.667 0.333 0.865
P 0.333 0.667 0.000
Tl 0.667 0.333 0.500

---

Compound: SmTlSbS3
Source: OQMD
Functional: GGA-PBE
Structure: relaxed

## Properties
- final energy (eV/cell) = -57.49
- theoretical density (g/cm³) = 5.664
- crystal system = orthorhombic

a b c (Å): 7.648 7.648 11.473
angles (deg): 90.00 90.00 149.97
Fractional coordinates of all 12 atoms:
S 0.130 0.870 0.018
S 0.496 0.504 0.250
S 0.130 0.870 0.482
S 0.870 0.130 0.518
S 0.504 0.496 0.750
S 0.870 0.130 0.982
Sb 0.134 0.866 0.250
Sb 0.866 0.134 0.750
Sm 0.500 0.500 0.000
Sm 0.500 0.500 0.500
Tl 0.825 0.175 0.250
Tl 0.175 0.825 0.750

---

Compound: SmNiB
Source: OQMD
Functional: GGA-PBE
Structure: relaxed

## Properties
- final energy (eV/cell) = -16.41
- theoretical density (g/cm³) = 7.198
- E above lowest polymorph (meV per atom) = 0
- crystal system = cubic

a b c (Å): 4.155 4.155 4.155
angles (deg): 60.00 60.00 60.00
Fractional coordinates of all 3 atoms:
B 0.000 0.000 0.000
Ni 0.250 0.250 0.250
Sm 0.750 0.750 0.750

---

Compound: K4Cd3In
Source: OQMD
Functional: GGA-PBE
Structure: relaxed

## Properties
- final energy (eV/cell) = -9.78
- theoretical density (g/cm³) = 3.881
- crystal system = tetragonal

a b c (Å): 5.711 5.711 7.983
angles (deg): 90.00 90.00 90.00
Fractional coordinates of all 8 atoms:
Cd 0.500 0.000 0.238
Cd 0.500 0.500 0.500
Cd 0.000 0.500 0.762
In 0.000 0.000 0.000
K 0.500 0.500 0.000
K 0.000 0.500 0.253
K 0.000 0.000 0.500
K 0.500 0.000 0.747

---

Compound: LiHfNO
Source: OQMD
Functional: GGA-PBE
Structure: relaxed

## Properties
- final energy (eV/cell) = -67.61
- theoretical density (g/cm³) = 8.819
- E above lowest polymorph (meV per atom) = 0
- crystal system = tetragonal

a b c (Å): 4.404 4.404 4.183
angles (deg): 90.00 90.00 90.00
Fractional coordinates of all 8 atoms:
Hf 0.000 0.000 0.500
Hf 0.500 0.500 0.500
Li 0.500 0.000 0.000
Li 0.000 0.500 0.000
N 0.500 0.000 0.499
N 0.000 0.500 0.501
O 0.000 0.000 0.000
O 0.500 0.500 0.000

---

Compound: Hf3Al2GaNiPd2
Source: OQMD
Functional: GGA-PBE
Structure: relaxed

## Properties
- final energy (eV/cell) = -62.66
- theoretical density (g/cm³) = 10.171
- crystal system = orthorhombic

a b c (Å): 3.467 7.103 7.103
angles (deg): 119.70 90.00 90.00
Fractional coordinates of all 9 atoms:
Al 0.000 0.249 0.003
Al 0.000 0.003 0.249
Ga 0.000 0.748 0.748
Hf 0.500 0.398 0.398
Hf 0.500 0.998 0.606
Hf 0.500 0.606 0.998
Ni 0.500 0.001 0.001
Pd 0.000 0.667 0.329
Pd 0.000 0.329 0.667

---

Compound: CoBPdW
Source: OQMD
Functional: GGA-PBE
Structure: relaxed

## Properties
- final energy (eV/cell) = -29.04
- theoretical density (g/cm³) = 11.963
- E above lowest polymorph (meV per atom) = 187
- crystal system = cubic

a b c (Å): 4.134 4.134 4.134
angles (deg): 60.00 60.00 60.00
Each line ends with the local moment (μB).
Fractional coordinates of all 4 atoms:
B 0.000 0.000 0.000  0.00
Co 0.750 0.750 0.750  0.30
Pd 0.250 0.250 0.250  -0.02
W 0.500 0.500 0.500  -0.05